Crystalline Mg6CdRh at its relaxed geometry. Source: Alexandria, functional PBE-GGA.

Summary:
Calculated formation energy = -0.17 eV per atom
D(E_F) = 2.8 states/eV per cell
Excess energy over the best structure of this formula in the dataset = 0.000 eV/atom

abc: 8.021 8.021 8.021
angles: 146.12 146.12 48.67
Element x y z (fractional)
Mg: 0.244 0.244 0.000
Mg: 0.891 0.391 0.500
Mg: 0.391 0.891 0.500
Mg: 0.109 0.609 0.500
Mg: 0.756 0.756 0.000
Mg: 0.609 0.109 0.500
Cd: 0.500 0.500 0.000
Rh: 0.000 0.000 0.000


Crystalline Mg6Cd5Rh at its relaxed geometry. Source: Alexandria, functional PBE-GGA.

Summary:
Calculated formation energy = -0.18 eV per atom
D(E_F) = 4.0 states/eV per cell

abc: 4.910 6.646 7.774
angles: 90.00 71.62 90.00
Element x y z (fractional)
Mg: 0.841 0.764 0.308
Mg: 0.841 0.236 0.308
Mg: 0.500 0.230 0.000
Mg: 0.500 0.770 0.000
Mg: 0.159 0.764 0.692
Mg: 0.159 0.236 0.692
Rh: 0.000 0.000 0.000
Cd: 0.679 0.500 0.650
Cd: 0.325 0.000 0.337
Cd: 0.000 0.500 0.000
Cd: 0.675 0.000 0.663
Cd: 0.321 0.500 0.350


Crystalline MgCd4Rh at its relaxed geometry. Source: Alexandria, functional PBE-GGA.

Summary:
Calculated formation energy = 0.06 eV per atom
D(E_F) = 7.8 states/eV per cell
Excess energy over the best structure of this formula in the dataset = 0.165 eV/atom

abc: 7.446 6.241 6.242
angles: 90.00 90.00 90.03
Element x y z (fractional)
Mg: 0.500 0.250 0.250
Mg: 0.500 0.750 0.750
Cd: 0.219 0.500 0.000
Cd: 0.219 0.500 0.500
Cd: 0.781 0.000 0.000
Cd: 0.781 0.500 0.500
Cd: 0.781 0.000 0.500
Cd: 0.219 0.000 0.000
Cd: 0.219 0.000 0.500
Cd: 0.781 0.500 0.000
Rh: 0.000 0.250 0.750
Rh: 0.000 0.750 0.250


Crystalline Mg2Cd12Rh at its relaxed geometry. Source: Alexandria, functional PBE-GGA.

Summary:
Calculated formation energy = 0.05 eV per atom
D(E_F) = 9.8 states/eV per cell

abc: 5.875 5.875 20.772
angles: 90.00 90.00 90.00
Element x y z (fractional)
Mg: 0.500 0.000 0.264
Mg: 0.000 0.500 0.264
Mg: 0.000 0.500 0.736
Mg: 0.500 0.000 0.736
Cd: 0.500 0.500 0.804
Cd: 0.000 0.000 0.804
Cd: 0.750 0.750 0.914
Cd: 0.250 0.750 0.914
Cd: 0.000 0.000 0.330
Cd: 0.250 0.750 0.086
Cd: 0.823 0.323 0.567
Cd: 0.500 0.500 0.330
Cd: 0.250 0.250 0.914
Cd: 0.750 0.750 0.086
Cd: 0.323 0.177 0.567
Cd: 0.677 0.177 0.433
Cd: 0.000 0.000 0.670
Cd: 0.177 0.323 0.433
Cd: 0.250 0.250 0.086
Cd: 0.823 0.677 0.433
Cd: 0.677 0.823 0.567
Cd: 0.000 0.000 0.196
Cd: 0.177 0.677 0.567
Cd: 0.500 0.500 0.670
Cd: 0.750 0.250 0.914
Cd: 0.500 0.500 0.196
Cd: 0.323 0.823 0.433
Cd: 0.750 0.250 0.086
Rh: 0.500 0.000 0.000
Rh: 0.000 0.500 0.000


Crystalline Mg6Cd12Rh at its relaxed geometry. Source: Alexandria, functional PBE-GGA.

Summary:
Calculated formation energy = -0.14 eV per atom
D(E_F) = 5.4 states/eV per cell

abc: 7.394 7.394 7.394
angles: 91.87 91.87 91.87
Element x y z (fractional)
Mg: 0.113 0.265 0.748
Mg: 0.735 0.252 0.887
Mg: 0.252 0.887 0.735
Mg: 0.887 0.735 0.252
Mg: 0.265 0.748 0.113
Mg: 0.748 0.113 0.265
Cd: 0.473 0.200 0.552
Cd: 0.200 0.552 0.473
Cd: 0.552 0.473 0.200
Cd: 0.527 0.800 0.448
Cd: 0.800 0.448 0.527
Cd: 0.448 0.527 0.800
Cd: 0.858 0.953 0.630
Cd: 0.370 0.142 0.047
Cd: 0.047 0.370 0.142
Cd: 0.142 0.047 0.370
Cd: 0.630 0.858 0.953
Cd: 0.953 0.630 0.858
Rh: 0.000 0.000 0.000


Crystalline Mg11Cd9Rh4 at its relaxed geometry. Source: Alexandria, functional PBE-GGA.

Summary:
Calculated formation energy = -0.25 eV per atom
D(E_F) = 7.7 states/eV per cell

abc: 3.272 12.491 12.491
angles: 112.83 90.00 90.00
Element x y z (fractional)
Mg: 0.000 0.585 0.924
Mg: 0.000 0.415 0.076
Mg: 0.000 0.924 0.585
Mg: 0.000 0.076 0.415
Mg: 0.000 0.629 0.371
Mg: 0.000 0.371 0.629
Mg: 0.000 0.841 0.159
Mg: 0.000 0.159 0.841
Mg: 0.000 0.000 0.000
Mg: 0.000 0.692 0.692
Mg: 0.000 0.308 0.308
Cd: 0.500 0.629 0.153
Cd: 0.500 0.371 0.847
Cd: 0.500 0.153 0.629
Cd: 0.500 0.847 0.371
Cd: 0.500 0.782 0.928
Cd: 0.500 0.218 0.072
Cd: 0.500 0.928 0.782
Cd: 0.500 0.072 0.218
Cd: 0.500 0.500 0.500
Rh: 0.500 0.549 0.745
Rh: 0.500 0.451 0.255
Rh: 0.500 0.745 0.549
Rh: 0.500 0.255 0.451


Crystalline MgCd2Rh at its relaxed geometry. Source: Alexandria, functional PBE-GGA.

Summary:
Calculated formation energy = -0.21 eV per atom
D(E_F) = 2.0 states/eV per cell

abc: 5.193 5.193 5.193
angles: 133.61 133.52 67.77
Element x y z (fractional)
Mg: 0.500 0.500 0.000
Rh: 0.750 0.250 0.500
Cd: 0.000 0.000 0.000
Cd: 0.250 0.750 0.500


Crystalline MgCd2Rh at its relaxed geometry. Source: Alexandria, functional PBE-GGA.

Summary:
Calculated formation energy = -0.23 eV per atom
D(E_F) = 1.9 states/eV per cell

abc: 5.249 5.249 5.249
angles: 134.61 134.68 66.08
Element x y z (fractional)
Mg: 0.250 0.750 0.500
Rh: 0.750 0.250 0.500
Cd: 0.000 0.000 0.000
Cd: 0.500 0.500 0.000


Crystalline Mg2Cd2Rh at its relaxed geometry. Source: Alexandria, functional PBE-GGA.

Summary:
Calculated formation energy = -0.16 eV per atom
D(E_F) = 4.4 states/eV per cell
Excess energy over the best structure of this formula in the dataset = 0.131 eV/atom

abc: 5.708 5.832 7.466
angles: 112.99 112.47 90.00
Element x y z (fractional)
Mg: 0.334 0.492 0.668
Mg: 0.666 0.508 0.332
Mg: 0.166 0.824 0.332
Mg: 0.834 0.176 0.668
Cd: 0.902 0.752 0.805
Cd: 0.098 0.248 0.195
Cd: 0.598 0.947 0.195
Cd: 0.402 0.053 0.805
Rh: 0.750 0.500 0.000
Rh: 0.250 0.500 0.000


Crystalline Mg12Cd3Rh at its relaxed geometry. Source: Alexandria, functional PBE-GGA.

Summary:
Calculated formation energy = -0.11 eV per atom
D(E_F) = 5.6 states/eV per cell

abc: 4.309 4.309 18.004
angles: 90.00 90.00 90.00
Element x y z (fractional)
Mg: 0.500 0.500 0.000
Mg: 0.500 0.500 0.239
Mg: 0.500 0.500 0.500
Mg: 0.500 0.500 0.761
Mg: 0.500 0.000 0.108
Mg: 0.500 0.000 0.370
Mg: 0.500 0.000 0.630
Mg: 0.500 0.000 0.892
Mg: 0.000 0.500 0.108
Mg: 0.000 0.500 0.370
Mg: 0.000 0.500 0.630
Mg: 0.000 0.500 0.892
Cd: 0.000 0.000 0.241
Cd: 0.000 0.000 0.500
Cd: 0.000 0.000 0.759
Rh: 0.000 0.000 0.000


Crystalline Mg2Cd2Rh at its relaxed geometry. Source: Alexandria, functional PBE-GGA.

Summary:
Calculated formation energy = 0.04 eV per atom
D(E_F) = 5.9 states/eV per cell
Excess energy over the best structure of this formula in the dataset = 0.332 eV/atom

abc: 7.144 7.144 3.967
angles: 90.00 90.00 90.00
Element x y z (fractional)
Mg: 0.171 0.671 0.500
Mg: 0.671 0.829 0.500
Mg: 0.829 0.329 0.500
Mg: 0.329 0.171 0.500
Rh: 0.000 0.000 0.000
Rh: 0.500 0.500 0.000
Cd: 0.361 0.861 0.000
Cd: 0.861 0.639 0.000
Cd: 0.639 0.139 0.000
Cd: 0.139 0.361 0.000


Crystalline Mg4CdRh2 at its relaxed geometry. Source: Alexandria, functional PBE-GGA.

Summary:
Calculated formation energy = 0.11 eV per atom
D(E_F) = 3.5 states/eV per cell
Excess energy over the best structure of this formula in the dataset = 0.404 eV/atom

abc: 4.957 4.957 6.780
angles: 111.44 111.44 90.00
Element x y z (fractional)
Mg: 0.750 0.250 0.500
Mg: 0.250 0.750 0.500
Mg: 0.500 0.000 0.000
Mg: 0.000 0.500 0.000
Cd: 0.000 0.000 0.000
Rh: 0.618 0.618 0.235
Rh: 0.382 0.382 0.765


Crystalline Mg4CdRh2 at its relaxed geometry. Source: Alexandria, functional PBE-GGA.

Summary:
Calculated formation energy = -0.29 eV per atom
D(E_F) = 2.9 states/eV per cell
Excess energy over the best structure of this formula in the dataset = 0.000 eV/atom

abc: 4.434 4.434 6.596
angles: 90.00 90.00 90.00
Element x y z (fractional)
Mg: 0.500 0.000 0.274
Mg: 0.000 0.500 0.726
Mg: 0.500 0.000 0.726
Mg: 0.000 0.500 0.274
Cd: 0.500 0.500 0.000
Rh: 0.000 0.000 0.000
Rh: 0.500 0.500 0.500


Crystalline Mg3Cd3Rh2 at its relaxed geometry. Source: Alexandria, functional PBE-GGA.

Summary:
Calculated formation energy = -0.30 eV per atom
D(E_F) = 3.6 states/eV per cell

abc: 3.164 7.372 7.372
angles: 120.00 90.00 90.00
Element x y z (fractional)
Mg: 0.500 0.419 0.419
Mg: 0.500 0.581 0.000
Mg: 0.500 0.000 0.581
Cd: 0.000 0.762 0.762
Cd: 0.000 0.238 0.000
Cd: 0.000 0.000 0.238
Rh: 0.000 0.333 0.667
Rh: 0.000 0.667 0.333


Crystalline Mg2CdRh at its relaxed geometry. Source: Alexandria, functional PBE-GGA.

Summary:
Calculated formation energy = 0.06 eV per atom
D(E_F) = 3.8 states/eV per cell

abc: 4.066 4.066 9.933
angles: 78.19 78.19 90.00
Element x y z (fractional)
Mg: 0.605 0.125 0.250
Mg: 0.145 0.625 0.250
Mg: 0.375 0.395 0.750
Mg: 0.875 0.855 0.750
Rh: 0.500 0.500 0.000
Rh: 0.250 0.750 0.500
Cd: 0.000 0.000 0.000
Cd: 0.750 0.250 0.500


Crystalline Mg8CdRh2 at its relaxed geometry. Source: Alexandria, functional PBE-GGA.

Summary:
Calculated formation energy = -0.22 eV per atom
D(E_F) = 4.9 states/eV per cell
Excess energy over the best structure of this formula in the dataset = 0.023 eV/atom

abc: 4.943 7.162 7.162
angles: 111.06 96.98 96.98
Element x y z (fractional)
Mg: 0.920 0.944 0.674
Mg: 0.920 0.674 0.944
Mg: 0.311 0.623 0.623
Mg: 0.500 0.746 0.254
Mg: 0.500 0.254 0.746
Mg: 0.689 0.377 0.377
Mg: 0.080 0.326 0.056
Mg: 0.080 0.056 0.326
Cd: 0.500 0.000 0.000
Rh: 0.000 0.323 0.677
Rh: 0.000 0.677 0.323


Crystalline Mg2CdRuRh at its relaxed geometry. Source: Alexandria, functional PBE-GGA.

Summary:
Calculated formation energy = 0.73 eV per atom
D(E_F) = 8.5 states/eV per cell

abc: 4.713 5.048 4.713
angles: 90.00 90.00 90.00
Element x y z (fractional)
Ru: 0.500 0.500 0.500
Mg: 0.000 0.000 0.500
Mg: 0.500 0.000 0.000
Rh: 0.000 0.000 0.000
Cd: 0.000 0.500 0.000


Crystalline Mg2Sc5CdRh2 at its relaxed geometry. Source: Alexandria, functional PBE-GGA.

Summary:
Calculated formation energy = -0.44 eV per atom
D(E_F) = 21.3 states/eV per cell

abc: 3.518 11.161 11.161
angles: 90.00 90.00 90.00
Element x y z (fractional)
Mg: 0.000 0.675 0.175
Mg: 0.000 0.325 0.825
Mg: 0.000 0.175 0.325
Mg: 0.000 0.825 0.675
Sc: 0.500 0.208 0.073
Sc: 0.500 0.792 0.927
Sc: 0.500 0.073 0.792
Sc: 0.500 0.708 0.427
Sc: 0.500 0.927 0.208
Sc: 0.500 0.292 0.573
Sc: 0.500 0.573 0.708
Sc: 0.500 0.427 0.292
Sc: 0.500 0.500 0.000
Sc: 0.500 0.000 0.500
Cd: 0.000 0.000 0.000
Cd: 0.000 0.500 0.500
Rh: 0.000 0.127 0.627
Rh: 0.000 0.873 0.373
Rh: 0.000 0.627 0.873
Rh: 0.000 0.373 0.127


Crystalline MgCd2Si2Rh5 at its relaxed geometry. Source: Alexandria, functional PBE-GGA.

Summary:
Raw formation energy = -0.509 eV/atom
D(E_F) = 6.9 states/eV per cell

abc: 3.182 9.901 9.901
angles: 90.00 90.00 90.00
Element x y z (fractional)
Mg: 0.000 0.000 0.000
Mg: 0.000 0.500 0.500
Cd: 0.000 0.674 0.174
Cd: 0.000 0.326 0.826
Cd: 0.000 0.174 0.326
Cd: 0.000 0.826 0.674
Si: 0.000 0.129 0.629
Si: 0.000 0.871 0.371
Si: 0.000 0.629 0.871
Si: 0.000 0.371 0.129
Rh: 0.500 0.209 0.070
Rh: 0.500 0.791 0.930
Rh: 0.500 0.070 0.791
Rh: 0.500 0.709 0.430
Rh: 0.500 0.930 0.209
Rh: 0.500 0.291 0.570
Rh: 0.500 0.570 0.709
Rh: 0.500 0.430 0.291
Rh: 0.500 0.500 0.000
Rh: 0.500 0.000 0.500


Crystalline Mg2CdSi2Rh5 at its relaxed geometry. Source: Alexandria, functional PBE-GGA.

Summary:
Raw formation energy = -0.635 eV/atom
D(E_F) = 8.6 states/eV per cell

abc: 3.301 9.742 9.742
angles: 90.00 90.00 90.00
Element x y z (fractional)
Mg: 0.000 0.672 0.172
Mg: 0.000 0.328 0.828
Mg: 0.000 0.172 0.328
Mg: 0.000 0.828 0.672
Cd: 0.000 0.000 0.000
Cd: 0.000 0.500 0.500
Si: 0.000 0.129 0.629
Si: 0.000 0.871 0.371
Si: 0.000 0.629 0.871
Si: 0.000 0.371 0.129
Rh: 0.500 0.213 0.072
Rh: 0.500 0.787 0.928
Rh: 0.500 0.072 0.787
Rh: 0.500 0.713 0.428
Rh: 0.500 0.928 0.213
Rh: 0.500 0.287 0.572
Rh: 0.500 0.572 0.713
Rh: 0.500 0.428 0.287
Rh: 0.500 0.500 0.000
Rh: 0.500 0.000 0.500